Computed, not measured: an optimized crystal structure of AcPuCdSn at the PBE-GGA level of DFT.

a b c (Å): 5.592 5.592 5.592
angles (deg): 60.00 60.00 60.00
Element x y z (fractional)
Ac  0.000  0.000  0.000
Pu  0.500  0.500  0.500
Cd  0.750  0.750  0.750
Sn  0.250  0.250  0.250

Properties
Crystal system ... cubic
Formation energy from the elements ... -281 meV/atom



Computed, not measured: an optimized crystal structure of Ho7Tc2Te2 at the PBE-GGA level of DFT.

a b c (Å): 9.362 9.362 9.362
angles (deg): 155.38 65.27 120.61
Element x y z (fractional)
Ho  0.000  0.000  0.000
Ho  0.056  0.372  0.683
Ho  0.091  0.743  0.348
Ho  0.395  0.743  0.652
Ho  0.447  0.581  0.866
Ho  0.689  0.372  0.317
Ho  0.715  0.581  0.134
Tc  0.302  0.064  0.237
Tc  0.827  0.064  0.763
Te  0.333  0.333  0.000
Te  0.736  0.236  0.500

Properties
Crystal system ... orthorhombic
Formation energy (no corrections) ... -0.55 eV per atom



Computed, not measured: an optimized crystal structure of Pr3Sm6Y2Th at the PBE-GGA level of DFT.

a b c (Å): 6.293 6.293 12.098
angles (deg): 94.98 94.98 119.95
Element x y z (fractional)
Pr  0.000  0.000  0.000
Pr  0.333  0.667  0.000
Pr  0.667  0.333  0.000
Sm  0.089  0.418  0.254
Sm  0.253  0.253  0.746
Sm  0.418  0.089  0.254
Sm  0.582  0.911  0.746
Sm  0.747  0.747  0.254
Sm  0.911  0.582  0.746
Y  0.167  0.833  0.500
Y  0.833  0.167  0.500
Th  0.500  0.500  0.500

Properties
Crystal system ... monoclinic
Formation energy from the elements ... 26 meV/atom



Computed, not measured: an optimized crystal structure of Ac2BeRh3 at the PBE-GGA level of DFT.

a b c (Å): 8.494 8.489 5.998
angles (deg): 69.36 69.27 41.36
Element x y z (fractional)
Ac  0.244  0.756  0.244
Ac  0.250  0.250  0.250
Ac  0.750  0.750  0.750
Ac  0.756  0.244  0.756
Be  0.331  0.331  0.669
Be  0.669  0.669  0.331
Rh  0.180  0.180  0.820
Rh  0.187  0.630  0.813
Rh  0.370  0.813  0.630
Rh  0.630  0.187  0.370
Rh  0.813  0.370  0.187
Rh  0.820  0.820  0.180

Properties
Crystal system ... orthorhombic
Formation energy from the elements ... -550 meV/atom



Computed, not measured: an optimized crystal structure of Hf2HgAu2 at the PBE-GGA level of DFT.

a b c (Å): 6.585 6.585 6.585
angles (deg): 140.23 140.23 57.51
Element x y z (fractional)
Hf  0.250  0.750  0.500
Hf  0.750  0.250  0.500
Hg  0.000  0.000  0.000
Au  0.387  0.387  0.000
Au  0.613  0.613  0.000

Properties
Crystal system ... tetragonal
Formation energy from the elements ... 14 meV/atom



Computed, not measured: an optimized crystal structure of Ba3Ag2Pd3 at the PBE-GGA level of DFT.

a b c (Å): 5.972 5.972 19.762
angles (deg): 90.00 90.00 134.13
Element x y z (fractional)
Ba  0.133  0.867  0.572
Ba  0.133  0.867  0.928
Ba  0.198  0.802  0.250
Ba  0.802  0.198  0.750
Ba  0.867  0.133  0.072
Ba  0.867  0.133  0.428
Ag  0.497  0.503  0.181
Ag  0.497  0.503  0.319
Ag  0.503  0.497  0.681
Ag  0.503  0.497  0.819
Pd  0.090  0.910  0.750
Pd  0.424  0.576  0.552
Pd  0.424  0.576  0.948
Pd  0.576  0.424  0.052
Pd  0.576  0.424  0.448
Pd  0.910  0.090  0.250

Properties
Crystal system ... orthorhombic
Formation energy from the elements ... -323 meV/atom



Computed, not measured: an optimized crystal structure of KCuNi2 at the PBE-GGA level of DFT.

a b c (Å): 2.619 4.136 6.708
angles (deg): 90.00 98.38 90.00
Element x y z (fractional)
K  0.000  0.000  0.000
Cu  0.500  0.000  0.500
Ni  0.269  0.500  0.650
Ni  0.731  0.500  0.350

Properties
Crystal system ... monoclinic
Formation energy from the elements ... 547 meV/atom
ΔE to the lowest computed polymorph ... 1.00 eV per formula unit



Computed, not measured: an optimized crystal structure of Nd10SmDy4 at the PBE-GGA level of DFT.

a b c (Å): 9.598 9.598 9.598
angles (deg): 99.56 99.56 131.90
Element x y z (fractional)
Nd  0.048  0.349  0.899
Nd  0.149  0.048  0.699
Nd  0.250  0.750  0.500
Nd  0.349  0.450  0.301
Nd  0.450  0.149  0.101
Nd  0.550  0.851  0.899
Nd  0.651  0.550  0.699
Nd  0.750  0.250  0.500
Nd  0.851  0.952  0.301
Nd  0.952  0.651  0.101
Sm  0.500  0.500  0.000
Dy  0.100  0.700  0.800
Dy  0.300  0.100  0.400
Dy  0.700  0.900  0.600
Dy  0.900  0.300  0.200

Properties
Crystal system ... tetragonal
Formation energy from the elements ... 694 meV/atom



Computed, not measured: an optimized crystal structure of ScTeHN2 at the PBE-GGA level of DFT.

a b c (Å): 4.189 4.189 3.393
angles (deg): 90.00 90.00 90.00
Element x y z (fractional)
Sc  0.000  0.000  0.000
Te  0.500  0.500  0.000
H  0.500  0.500  0.500
N  0.000  0.500  0.500
N  0.500  0.000  0.500

Properties
Crystal system ... tetragonal
ΔE to the lowest computed polymorph ... 0.00 eV per formula unit



Computed, not measured: an optimized crystal structure of NdSm12Bi6 at the PBE-GGA level of DFT.

a b c (Å): 9.141 9.141 9.141
angles (deg): 104.37 104.37 104.37
Element x y z (fractional)
Nd  0.000  0.000  0.000
Sm  0.027  0.934  0.328
Sm  0.066  0.672  0.973
Sm  0.177  0.376  0.514
Sm  0.328  0.027  0.934
Sm  0.376  0.514  0.177
Sm  0.486  0.823  0.624
Sm  0.514  0.177  0.376
Sm  0.624  0.486  0.823
Sm  0.672  0.973  0.066
Sm  0.823  0.624  0.486
Sm  0.934  0.328  0.027
Sm  0.973  0.066  0.672
Bi  0.132  0.632  0.345
Bi  0.345  0.132  0.632
Bi  0.368  0.655  0.868
Bi  0.632  0.345  0.132
Bi  0.655  0.868  0.368
Bi  0.868  0.368  0.655

Properties
Crystal system ... trigonal
Formation energy from the elements ... -314 meV/atom



Computed, not measured: an optimized crystal structure of Cd2SnCI at the PBE-GGA level of DFT.

a b c (Å): 4.544 4.544 6.095
angles (deg): 90.00 90.00 90.00
Element x y z (fractional)
Cd  0.000  0.500  0.000
Cd  0.500  0.000  0.000
Sn  0.000  0.000  0.500
C  0.500  0.500  0.000
I  0.500  0.500  0.500

Properties
Crystal system ... tetragonal
Formation energy (no corrections) ... 0.87 eV per atom



Computed, not measured: an optimized crystal structure of AcAl2Ni6 at the PBE-GGA level of DFT.

a b c (Å): 6.561 6.561 6.561
angles (deg): 144.45 118.43 73.17
Element x y z (fractional)
Ac  0.000  0.000  0.000
Al  0.362  0.862  0.500
Al  0.638  0.138  0.500
Ni  0.098  0.280  0.818
Ni  0.330  0.500  0.830
Ni  0.462  0.280  0.182
Ni  0.538  0.720  0.818
Ni  0.670  0.500  0.170
Ni  0.902  0.720  0.182

Properties
Crystal system ... orthorhombic
Formation energy from the elements ... -179 meV/atom



Computed, not measured: an optimized crystal structure of KAsCSe2 at the PBE-GGA level of DFT.

a b c (Å): 4.983 4.983 4.179
angles (deg): 90.00 90.00 90.00
Element x y z (fractional)
K  0.000  0.000  0.000
As  0.500  0.500  0.000
C  0.500  0.500  0.500
Se  0.000  0.500  0.500
Se  0.500  0.000  0.500

Properties
Crystal system ... tetragonal
ΔE to the lowest computed polymorph ... 0.00 eV per formula unit
Formation energy (no corrections) ... 0.68 eV per atom



Computed, not measured: an optimized crystal structure of La2Pr9Dy3 at the PBE-GGA level of DFT.

a b c (Å): 9.278 9.278 13.811
angles (deg): 90.00 90.00 120.00
Element x y z (fractional)
La  0.333  0.667  0.137
La  0.333  0.667  0.363
La  0.667  0.333  0.637
La  0.667  0.333  0.863
Pr  0.081  0.485  0.750
Pr  0.127  0.727  0.538
Pr  0.127  0.727  0.962
Pr  0.273  0.400  0.538
Pr  0.273  0.400  0.962
Pr  0.400  0.127  0.038
Pr  0.400  0.127  0.462
Pr  0.404  0.919  0.750
Pr  0.485  0.404  0.250
Pr  0.515  0.596  0.750
Pr  0.596  0.081  0.250
Pr  0.600  0.873  0.538
Pr  0.600  0.873  0.962
Pr  0.727  0.600  0.038
Pr  0.727  0.600  0.462
Pr  0.873  0.273  0.038
Pr  0.873  0.273  0.462
Pr  0.919  0.515  0.250
Dy  0.079  0.247  0.250
Dy  0.168  0.921  0.250
Dy  0.247  0.168  0.750
Dy  0.753  0.832  0.250
Dy  0.832  0.079  0.750
Dy  0.921  0.753  0.750

Properties
Crystal system ... hexagonal
Formation energy from the elements ... 240 meV/atom



Computed, not measured: an optimized crystal structure of ZnCd2SF at the PBE-GGA level of DFT.

a b c (Å): 5.237 5.237 4.442
angles (deg): 90.00 90.00 90.00
Element x y z (fractional)
Zn  0.000  0.000  0.000
Cd  0.000  0.500  0.000
Cd  0.500  0.000  0.000
S  0.000  0.000  0.500
F  0.500  0.500  0.500

Properties
Crystal system ... tetragonal
Formation energy (no corrections) ... -0.16 eV per atom



Computed, not measured: an optimized crystal structure of KPt2Se at the PBE-GGA level of DFT.

a b c (Å): 2.892 3.883 7.725
angles (deg): 90.00 100.76 90.00
Element x y z (fractional)
K  0.000  0.000  0.000
Pt  0.242  0.000  0.480
Pt  0.655  0.500  0.307
Se  0.346  0.500  0.690

Properties
Crystal system ... monoclinic
Formation energy (no corrections) ... -0.11 eV per atom



Computed, not measured: an optimized crystal structure of LiMg2Si2Pd5 at the PBE-GGA level of DFT.

a b c (Å): 9.520 9.520 3.468
angles (deg): 90.00 90.00 90.00
Element x y z (fractional)
Li  0.000  0.000  0.000
Li  0.500  0.500  0.000
Mg  0.170  0.330  0.000
Mg  0.330  0.830  0.000
Mg  0.670  0.170  0.000
Mg  0.830  0.670  0.000
Si  0.130  0.630  0.000
Si  0.370  0.130  0.000
Si  0.630  0.870  0.000
Si  0.870  0.370  0.000
Pd  0.000  0.500  0.500
Pd  0.073  0.796  0.500
Pd  0.204  0.073  0.500
Pd  0.296  0.573  0.500
Pd  0.427  0.296  0.500
Pd  0.500  0.000  0.500
Pd  0.573  0.704  0.500
Pd  0.704  0.427  0.500
Pd  0.796  0.927  0.500
Pd  0.927  0.204  0.500

Properties
Crystal system ... tetragonal
Formation energy (no corrections) ... -0.59 eV per atom



Computed, not measured: an optimized crystal structure of Sr3CrBi at the PBE-GGA level of DFT.

a b c (Å): 6.367 6.367 6.367
angles (deg): 90.00 90.00 90.00
Element x y z (fractional)
Sr  0.000  0.000  0.500
Sr  0.000  0.500  0.000
Sr  0.500  0.000  0.000
Cr  0.500  0.500  0.500
Bi  0.000  0.000  0.000

Properties
Crystal system ... cubic
Formation energy from the elements ... 248 meV/atom
ΔE to the lowest computed polymorph ... 0.00 eV per formula unit



Computed, not measured: an optimized crystal structure of InAgW2 at the PBE-GGA level of DFT.

a b c (Å): 2.765 4.311 5.984
angles (deg): 90.00 90.00 90.00
Element x y z (fractional)
In  0.000  0.000  0.000
Ag  0.500  0.500  0.760
W  0.000  0.000  0.486
W  0.500  0.500  0.283

Properties
Crystal system ... orthorhombic
Formation energy from the elements ... 571 meV/atom



Computed, not measured: an optimized crystal structure of La3Tb4Pm3 at the PBE-GGA level of DFT.

a b c (Å): 3.708 9.748 9.748
angles (deg): 90.04 90.00 90.00
Element x y z (fractional)
La  0.000  0.000  0.000
La  0.500  0.176  0.672
La  0.500  0.672  0.176
Tb  0.500  0.054  0.300
Tb  0.500  0.300  0.054
Tb  0.500  0.552  0.552
Tb  0.500  0.796  0.796
Pm  0.000  0.349  0.349
Pm  0.000  0.500  0.848
Pm  0.000  0.848  0.500

Properties
Crystal system ... orthorhombic
Formation energy from the elements ... 88 meV/atom



Computed, not measured: an optimized crystal structure of HfTh2Sc5 at the PBE-GGA level of DFT.

a b c (Å): 6.644 13.288 4.684
angles (deg): 90.00 90.00 90.00
Element x y z (fractional)
Hf  0.000  0.000  0.000
Hf  0.500  0.500  0.000
Th  0.244  0.124  0.500
Th  0.256  0.624  0.500
Th  0.744  0.376  0.500
Th  0.756  0.876  0.500
Sc  0.000  0.500  0.000
Sc  0.004  0.753  0.000
Sc  0.250  0.377  0.500
Sc  0.250  0.877  0.500
Sc  0.496  0.253  0.000
Sc  0.500  0.000  0.000
Sc  0.504  0.747  0.000
Sc  0.750  0.123  0.500
Sc  0.750  0.623  0.500
Sc  0.996  0.247  0.000

Properties
Crystal system ... orthorhombic
Formation energy from the elements ... 33 meV/atom



Computed, not measured: an optimized crystal structure of Pr4Er3Tm2 at the PBE-GGA level of DFT.

a b c (Å): 10.253 10.253 6.028
angles (deg): 96.03 96.03 69.92
Element x y z (fractional)
Pr  0.050  0.822  0.955
Pr  0.163  0.386  0.113
Pr  0.178  0.950  0.545
Pr  0.386  0.163  0.613
Pr  0.614  0.837  0.387
Pr  0.822  0.050  0.455
Pr  0.837  0.614  0.887
Pr  0.950  0.178  0.045
Er  0.019  0.321  0.579
Er  0.321  0.019  0.079
Er  0.353  0.647  0.250
Er  0.647  0.353  0.750
Er  0.679  0.981  0.921
Er  0.981  0.679  0.421
Tm  0.292  0.505  0.699
Tm  0.495  0.708  0.801
Tm  0.505  0.292  0.199
Tm  0.708  0.495  0.301

Properties
Crystal system ... monoclinic
Formation energy from the elements ... 92 meV/atom
ΔE to the lowest computed polymorph ... 0.37 eV per formula unit



Per-record calculated density, g/cm3: 9.4; 9.1; 7.0; 9.7; 13.6; 6.2; 5.1; 6.2; 5.6; 7.9; 6.4; 7.4; 4.5; 6.6; 4.7; 9.9; 6.8; 3.4; 13.7; 7.0; 7.0; 7.9
Per-record total energy, eV/atom: -6.121; -5.916; -5.224; -6.217; -5.338; -3.705; -3.642; -4.027; -4.904; -4.771; -2.454; -5.322; -3.704; -4.522; -1.979; -4.272; -4.785; -3.462; -7.303; -4.667; -7.023; -4.547